Density functional theory data (PBE) for a geometry-optimized SbC structure.

## Properties
The space-group type is No. 63. The value obtained for the uncorrected formation energy is 1430 meV per atom. As for the density of states at the Fermi level: 0.47 states/eV per cell. For the spin magnetization, the calculation gives 0.0000 μB per atom. The energy above the most stable polymorph in this dataset is 595 meV per atom.

Geometry as CIF:
```
data_SbC
_cell_length_a 4.881
_cell_length_b 3.643
_cell_length_c 3.644
_cell_angle_alpha 78.92
_cell_angle_beta 90.00
_cell_angle_gamma 90.00
_symmetry_space_group_name_H-M 'P 1'
_symmetry_Int_Tables_number 1
loop_
_symmetry_equiv_pos_as_xyz
'x,y,z'
loop_
_atom_site_label
_atom_site_type_symbol
_atom_site_fract_x
_atom_site_fract_y
_atom_site_fract_z
C1 C 0.500 0.684 0.684
C2 C 0.000 0.066 0.066
Sb1 Sb 0.500 0.081 0.081
Sb2 Sb 0.000 0.669 0.669
```

---

Density functional theory data (PBE) for a geometry-optimized SbC3 structure.

## Properties
The space-group type is No. 166. The value obtained for the uncorrected formation energy is 2570 meV per atom. As for the density of states at the Fermi level: 1.97 states/eV per cell. For the spin magnetization, the calculation gives 0.0000 μB per atom. The energy above the most stable polymorph in this dataset is 1689 meV per atom.

Geometry as CIF:
```
data_SbC3
_cell_length_a 6.395
_cell_length_b 6.395
_cell_length_c 6.395
_cell_angle_alpha 25.66
_cell_angle_beta 25.66
_cell_angle_gamma 25.66
_symmetry_space_group_name_H-M 'P 1'
_symmetry_Int_Tables_number 1
loop_
_symmetry_equiv_pos_as_xyz
'x,y,z'
loop_
_atom_site_label
_atom_site_type_symbol
_atom_site_fract_x
_atom_site_fract_y
_atom_site_fract_z
C1 C 0.500 0.500 0.500
C2 C 0.211 0.211 0.211
C3 C 0.789 0.789 0.789
Sb1 Sb 0.000 0.000 0.000
```

---

Density functional theory data (PBE) for a geometry-optimized Sb7C structure.

## Properties
The space-group type is No. 225. The value obtained for the uncorrected formation energy is 997 meV per atom. As for the density of states at the Fermi level: 7.17 states/eV per cell. For the spin magnetization, the calculation gives 0.1163 μB per atom.

Geometry as CIF:
```
data_Sb7C
_cell_length_a 6.589
_cell_length_b 6.589
_cell_length_c 6.589
_cell_angle_alpha 60.00
_cell_angle_beta 60.00
_cell_angle_gamma 60.00
_symmetry_space_group_name_H-M 'P 1'
_symmetry_Int_Tables_number 1
loop_
_symmetry_equiv_pos_as_xyz
'x,y,z'
loop_
_atom_site_label
_atom_site_type_symbol
_atom_site_fract_x
_atom_site_fract_y
_atom_site_fract_z
C1 C 0.000 0.000 0.000
Sb1 Sb 0.000 0.500 0.000
Sb2 Sb 0.500 0.000 0.500
Sb3 Sb 0.500 0.500 0.000
Sb4 Sb 0.000 0.000 0.500
Sb5 Sb 0.000 0.500 0.500
Sb6 Sb 0.500 0.500 0.500
Sb7 Sb 0.500 0.000 0.000
```

---

Density functional theory data (PBE) for a geometry-optimized SbC3 structure.

## Properties
The space-group type is No. 123. The value obtained for the uncorrected formation energy is 2556 meV per atom. As for the density of states at the Fermi level: 1.03 states/eV per cell. For the spin magnetization, the calculation gives 0.0000 μB per atom. The energy above the most stable polymorph in this dataset is 1675 meV per atom.

Geometry as CIF:
```
data_SbC3
_cell_length_a 3.156
_cell_length_b 3.156
_cell_length_c 4.923
_cell_angle_alpha 90.00
_cell_angle_beta 90.00
_cell_angle_gamma 90.00
_symmetry_space_group_name_H-M 'P 1'
_symmetry_Int_Tables_number 1
loop_
_symmetry_equiv_pos_as_xyz
'x,y,z'
loop_
_atom_site_label
_atom_site_type_symbol
_atom_site_fract_x
_atom_site_fract_y
_atom_site_fract_z
Sb1 Sb 0.500 0.500 0.750
C1 C 0.500 0.500 0.250
C2 C 0.000 0.000 0.116
C3 C 0.000 0.000 0.384
```